Mn2ZnF (GGA+U, optimized geometry); space group = Fm-3m; E above lowest polymorph = 237.9 meV per atom; total DFT energy (no corrections) = -4.678 eV/atom; density of states at the Fermi level = 1.04 states/eV/atom; calculated density = 4.9 g cm⁻³
1.0
3.382 2.042 2.236
-0.929 2.868 3.395
0.926 -1.179 4.285
Zn Mn F
1 2 1
direct
0.500 0.500 0.500 Zn
0.250 0.250 0.250 Mn
0.750 0.750 0.750 Mn
0.000 0.000 0.000 F